# 1
VASP calculation (PBE) on a relaxed LuCd4In crystal.

a = 5.9114 Å, b = 5.9114 Å, c = 5.9114 Å
α = 60.00°, β = 60.00°, γ = 60.00°
Positions (direct):
Lu 0.0000 0.0000 0.0000
Cd 0.1240 0.6253 0.6253
Cd 0.6253 0.1240 0.6253
Cd 0.6253 0.6253 0.1240
Cd 0.6253 0.6253 0.6253
In 0.2500 0.2500 0.2500

Summary:
Calculated formation energy (eV per atom): -0.047
Magnetic moment (μB per atom): 0.0000
DFT total energy (eV/cell): -11.20
Crystal system: cubic

# 2
VASP calculation (PBE) on a relaxed NbReW6 crystal.

a = 4.5099 Å, b = 5.5241 Å, c = 5.5241 Å
α = 70.55°, β = 90.00°, γ = 90.00°
Positions (direct):
Nb 0.0000 0.0000 0.0000
Re 0.5000 0.2501 0.2501
W 0.0000 0.0000 0.4997
W 0.0000 0.4997 0.0000
W 0.0000 0.4998 0.4998
W 0.5000 0.2514 0.7480
W 0.5000 0.7480 0.2514
W 0.5000 0.7495 0.7495

Summary:
Calculated formation energy (eV per atom): -0.030
Magnetic moment (μB per atom): 0.0000
DFT total energy (eV/cell): -100.48
Crystal system: orthorhombic

# 3
VASP calculation (PBE) on a relaxed CeGa4Ir2 crystal.

a = 17.3024 Å, b = 4.3244 Å, c = 6.6094 Å
α = 90.00°, β = 90.00°, γ = 90.00°
Positions (direct):
Ce 0.1404 0.2500 0.0145
Ce 0.3596 0.7500 0.5145
Ce 0.6404 0.2500 0.4855
Ce 0.8596 0.7500 0.9855
Ga 0.0356 0.7500 0.8423
Ga 0.0702 0.2500 0.4950
Ga 0.1852 0.7500 0.3210
Ga 0.1883 0.7500 0.7236
Ga 0.3117 0.2500 0.2236
Ga 0.3148 0.2500 0.8210
Ga 0.4298 0.7500 0.9950
Ga 0.4644 0.2500 0.3423
Ga 0.5356 0.7500 0.6577
Ga 0.5702 0.2500 0.0050
Ga 0.6852 0.7500 0.1790
Ga 0.6883 0.7500 0.7764
Ga 0.8117 0.2500 0.2764
Ga 0.8148 0.2500 0.6790
Ga 0.9298 0.7500 0.5050
Ga 0.9644 0.2500 0.1577
Ir 0.0383 0.7500 0.2442
Ir 0.2170 0.2500 0.5236
Ir 0.2830 0.7500 0.0236
Ir 0.4617 0.2500 0.7442
Ir 0.5383 0.7500 0.2558
Ir 0.7170 0.2500 0.9764
Ir 0.7830 0.7500 0.4764
Ir 0.9617 0.2500 0.7558

Summary:
Calculated formation energy (eV per atom): -0.633
Magnetic moment (μB per atom): 0.0000
Energy above the lowest structure with this stoichiometry (eV per atom): 0.000
DFT total energy (eV/cell): -160.78
Crystal system: orthorhombic

# 4
VASP calculation (PBE) on a relaxed CaNdSn6 crystal.

a = 4.7199 Å, b = 4.7199 Å, c = 9.7445 Å
α = 90.00°, β = 90.00°, γ = 90.00°
Positions (direct):
Ca 0.0000 0.0000 0.0000
Nd 0.0000 0.0000 0.5000
Sn 0.0000 0.5000 0.2476
Sn 0.0000 0.5000 0.7524
Sn 0.5000 0.0000 0.2476
Sn 0.5000 0.0000 0.7524
Sn 0.5000 0.5000 0.0000
Sn 0.5000 0.5000 0.5000

Summary:
Calculated formation energy (eV per atom): -0.447
Magnetic moment (μB per atom): 0.0000
DFT total energy (eV/cell): -34.36
Crystal system: tetragonal

# 5
VASP calculation (PBE) on a relaxed Ca2YMo crystal.

a = 6.5566 Å, b = 6.5566 Å, c = 3.2552 Å
α = 101.22°, β = 101.22°, γ = 121.87°
Positions (direct):
Ca 0.0000 0.5000 0.0000
Ca 0.5000 0.0000 0.0000
Y 0.0000 0.0000 0.5000
Mo 0.5000 0.5000 0.5000

Summary:
Calculated formation energy (eV per atom): 0.716
Magnetic moment (μB per atom): 0.0002
Energy above the lowest structure with this stoichiometry (eV per atom): 0.285
DFT total energy (eV/cell): -18.43
Crystal system: monoclinic

# 6
VASP calculation (PBE) on a relaxed Rb2In12Bi7 crystal.

a = 13.1982 Å, b = 13.1982 Å, c = 4.7806 Å
α = 90.00°, β = 90.00°, γ = 120.00°
Positions (direct):
Rb 0.3333 0.6667 0.2456
Rb 0.6667 0.3333 0.7544
In 0.0446 0.4392 0.7519
In 0.1009 0.2520 0.2390
In 0.1511 0.8991 0.2390
In 0.2520 0.1511 0.7610
In 0.3946 0.9554 0.7519
In 0.4392 0.3946 0.2481
In 0.5608 0.6054 0.7519
In 0.6054 0.0446 0.2481
In 0.7480 0.8489 0.2390
In 0.8489 0.1009 0.7610
In 0.8991 0.7480 0.7610
In 0.9554 0.5608 0.2481
Bi 0.0000 0.0000 0.5000
Bi 0.1329 0.7277 0.7467
Bi 0.2723 0.4052 0.7467
Bi 0.4052 0.1329 0.2533
Bi 0.5948 0.8671 0.7467
Bi 0.7277 0.5948 0.2533
Bi 0.8671 0.2723 0.2533

Summary:
Calculated formation energy (eV per atom): -0.055
Magnetic moment (μB per atom): 0.0000
DFT total energy (eV/cell): -63.13
Crystal system: trigonal

# 7
VASP calculation (PBE) on a relaxed Pr4HoTm3Se8 crystal.

a = 8.4711 Å, b = 8.4711 Å, c = 8.4711 Å
α = 57.38°, β = 57.38°, γ = 57.38°
Positions (direct):
Pr 0.0000 0.0000 0.0000
Pr 0.0000 0.5000 0.5000
Pr 0.5000 0.0000 0.5000
Pr 0.5000 0.5000 0.0000
Ho 0.5000 0.5000 0.5000
Tm 0.0000 0.0000 0.5000
Tm 0.0000 0.5000 0.0000
Tm 0.5000 0.0000 0.0000
Se 0.2404 0.7432 0.7432
Se 0.2419 0.2419 0.2419
Se 0.2568 0.2568 0.7596
Se 0.2568 0.7596 0.2568
Se 0.7432 0.2404 0.7432
Se 0.7432 0.7432 0.2404
Se 0.7581 0.7581 0.7581
Se 0.7596 0.2568 0.2568

Summary:
Magnetic moment (μB per atom): 0.0000
E_form (uncorrected) (eV per formula unit): -28.3
DFT total energy (eV/cell): -93.33
Crystal system: trigonal

# 8
VASP calculation (PBE) on a relaxed NdCuPbS3 crystal.

a = 8.4731 Å, b = 3.9960 Å, c = 8.7157 Å
α = 90.00°, β = 101.78°, γ = 90.00°
Positions (direct):
Nd 0.1692 0.2500 0.1778
Nd 0.8308 0.7500 0.8222
Cu 0.4176 0.7500 0.4179
Cu 0.5824 0.2500 0.5821
Pb 0.3214 0.7500 0.7736
Pb 0.6786 0.2500 0.2264
S 0.0727 0.2500 0.8376
S 0.2947 0.2500 0.4992
S 0.3951 0.7500 0.1409
S 0.6049 0.2500 0.8591
S 0.7053 0.7500 0.5008
S 0.9273 0.7500 0.1624

Summary:
Magnetic moment (μB per atom): 0.0000
E_form (uncorrected) (eV per formula unit): -6.4
DFT total energy (eV/cell): -62.69
Crystal system: monoclinic

# 9
VASP calculation (PBE) on a relaxed MnHAu3 crystal.

a = 4.2041 Å, b = 4.2041 Å, c = 4.2041 Å
α = 90.00°, β = 90.00°, γ = 90.00°
Positions (direct):
Mn 0.0000 0.0000 0.0000
H 0.5000 0.5000 0.5000
Au 0.0000 0.5000 0.5000
Au 0.5000 0.0000 0.5000
Au 0.5000 0.5000 0.0000

Summary:
Magnetic moment (μB per atom): 0.8585
Energy above the lowest structure with this stoichiometry (eV per atom): 0.000
DFT total energy (eV/cell): -21.06
Crystal system: cubic

# 10
VASP calculation (PBE) on a relaxed Zn3Os crystal.

a = 2.6476 Å, b = 4.1631 Å, c = 5.3157 Å
α = 90.00°, β = 102.33°, γ = 90.00°
Positions (direct):
Zn 0.0000 0.0000 0.0000
Zn 0.4355 0.5000 0.2562
Zn 0.5645 0.5000 0.7438
Os 0.0000 0.0000 0.5000

Summary:
Calculated formation energy (eV per atom): 0.159
Magnetic moment (μB per atom): 0.0000
DFT total energy (eV/cell): -14.42
Crystal system: monoclinic

# 11
VASP calculation (PBE) on a relaxed Tb4DyTmSe8 crystal.

a = 8.4156 Å, b = 8.4156 Å, c = 8.4156 Å
α = 60.09°, β = 60.09°, γ = 60.09°
Positions (direct):
Tb 0.0000 0.0000 0.0000
Tb 0.1246 0.6241 0.6242
Tb 0.6241 0.1246 0.6241
Tb 0.6241 0.6241 0.1246
Dy 0.2486 0.2486 0.2486
Tm 0.6241 0.6241 0.6241
Se 0.3806 0.3806 0.3806
Se 0.3847 0.3847 0.8511
Se 0.3847 0.8511 0.3847
Se 0.3990 0.8632 0.8632
Se 0.8511 0.3847 0.3847
Se 0.8632 0.3990 0.8632
Se 0.8632 0.8632 0.3990
Se 0.8675 0.8675 0.8675

Summary:
Magnetic moment (μB per atom): 0.0000
E_form (uncorrected) (eV per formula unit): -24.0
DFT total energy (eV/cell): -79.47
Crystal system: trigonal

# 12
VASP calculation (PBE) on a relaxed Nd10Tl3Te3 crystal.

a = 9.3643 Å, b = 9.3643 Å, c = 6.6212 Å
α = 90.00°, β = 90.00°, γ = 120.00°
Positions (direct):
Nd 0.0000 0.2426 0.0000
Nd 0.0000 0.7551 0.5000
Nd 0.2426 0.0000 0.0000
Nd 0.2449 0.2449 0.5000
Nd 0.3333 0.6667 0.2521
Nd 0.3333 0.6667 0.7479
Nd 0.6667 0.3333 0.2521
Nd 0.6667 0.3333 0.7479
Nd 0.7551 0.0000 0.5000
Nd 0.7574 0.7574 0.0000
Tl 0.0000 0.6093 0.0000
Tl 0.3907 0.3907 0.0000
Tl 0.6093 0.0000 0.0000
Te 0.0000 0.3850 0.5000
Te 0.3850 0.0000 0.5000
Te 0.6150 0.6150 0.5000

Summary:
Magnetic moment (μB per atom): 0.0362
E_form (uncorrected) (eV per formula unit): -11.2
DFT total energy (eV/cell): -75.38
Crystal system: hexagonal

# 13
VASP calculation (PBE) on a relaxed Ac6Si2Te3Pb crystal.

a = 10.6148 Å, b = 10.6148 Å, c = 9.5688 Å
α = 103.48°, β = 103.48°, γ = 25.52°
Positions (direct):
Ac 0.0089 0.0089 0.2516
Ac 0.3262 0.3262 0.4322
Ac 0.3329 0.3329 0.8940
Ac 0.6671 0.6671 0.1060
Ac 0.6738 0.6738 0.5678
Ac 0.9911 0.9911 0.7484
Si 0.1679 0.1679 0.3359
Si 0.8321 0.8321 0.6641
Te 0.1645 0.1645 0.8324
Te 0.5000 0.5000 0.5000
Te 0.8355 0.8355 0.1676
Pb 0.5000 0.5000 0.0000

Summary:
Magnetic moment (μB per atom): 0.0000
E_form (uncorrected) (eV per formula unit): -12.9
DFT total energy (eV/cell): -61.54
Crystal system: monoclinic

# 14
VASP calculation (PBE) on a relaxed LiAc2YO5 crystal.

a = 3.7554 Å, b = 3.7554 Å, c = 9.4900 Å
α = 90.00°, β = 90.00°, γ = 90.00°
Positions (direct):
Li 0.0000 0.0000 0.0000
Ac 0.5000 0.5000 0.1815
Ac 0.5000 0.5000 0.8185
Y 0.0000 0.0000 0.5000
O 0.0000 0.0000 0.2711
O 0.0000 0.0000 0.7289
O 0.0000 0.5000 0.0000
O 0.5000 0.0000 0.0000
O 0.5000 0.5000 0.5000

Summary:
Magnetic moment (μB per atom): 0.0000
E_form (uncorrected) (eV per formula unit): -26.7
DFT total energy (eV/cell): -68.04
Crystal system: tetragonal